# 1
VASP calculation (PBEsol) on a relaxed structure of CrGa3Ir.

Cell lengths 4.4703, 4.4703, 4.4703 Å; angles 90.00, 90.00, 90.00 degrees
Closest atoms and distances in Å follow each position.
Fractional coordinates of all 5 atoms:
Ga 0.0000 0.5000 0.0000  2 Cr 2.24
Ga 0.5000 0.0000 0.0000  2 Cr 2.24
Ga 0.0000 0.0000 0.5000  2 Cr 2.24
Cr 0.0000 0.0000 0.0000  6 Ga 2.24
Ir 0.5000 0.5000 0.5000  12 Ga 3.16

Summary:
**N(E_F)**: 3.6 states/eV/f.u.
**Symmetry**: Pm-3m, No. 221
**Total magnetic moment**: 2.1 μB per cell
**V**: 89.3 Å³/cell
**Energy of formation from the pure elements**: 1.05 eV per atom

# 2
VASP calculation (PBEsol) on a relaxed structure of CrGa2SnIr.

Cell lengths 4.4802, 4.6431, 4.6431 Å; angles 90.00, 90.00, 90.00 degrees
Closest atoms and distances in Å follow each position.
Fractional coordinates of all 5 atoms:
Ga 0.0000 0.5000 0.0000  2 Cr 2.32
Ga 0.0000 0.0000 0.5000  2 Cr 2.32
Ir 0.5000 0.0000 0.0000  2 Cr 2.24
Sn 0.5000 0.5000 0.5000  8 Ga 3.23, 4 Ir 3.28
Cr 0.0000 0.0000 0.0000  2 Ir 2.24, 4 Ga 2.32

Summary:
**N(E_F)**: 3.3 states/eV/f.u.
**Symmetry**: P4/mmm, No. 123
**Total magnetic moment**: 0.5 μB per cell
**V**: 96.6 Å³/cell
**Energy of formation from the pure elements**: 0.59 eV per atom

# 3
VASP calculation (PBEsol) on a relaxed structure of TaCrGaIr2.

Cell lengths 4.3303, 4.4088, 4.4088 Å; angles 90.00, 90.00, 90.00 degrees
Closest atoms and distances in Å follow each position.
Fractional coordinates of all 5 atoms:
Cr 0.5000 0.0000 0.0000  2 Ga 2.17
Ir 0.0000 0.0000 0.5000  2 Ga 2.20
Ir 0.0000 0.5000 0.0000  2 Ga 2.20
Ga 0.0000 0.0000 0.0000  2 Cr 2.17, 4 Ir 2.20
Ta 0.5000 0.5000 0.5000  8 Ir 3.09, 4 Cr 3.12

Summary:
**N(E_F)**: 3.1 states/eV/f.u.
**Symmetry**: P4/mmm, No. 123
**Total magnetic moment**: 1.9 μB per cell
**V**: 84.2 Å³/cell
**Energy of formation from the pure elements**: 1.08 eV per atom